No. 1
First-principles (PBE) data for a relaxed structure of RbMgSnSb2, as listed in Alexandria via LeMat-Bulk.

POSCAR file:
```
RbMgSnSb2
1.0
5.930 0.000 0.000
0.000 5.446 0.000
0.000 0.000 5.930
Sb Mg Sn Rb
2 1 1 1
Cartesian
0.000 0.000 2.965 Sb
2.965 0.000 0.000 Sb
0.000 2.723 0.000 Mg
0.000 0.000 0.000 Sn
2.965 2.723 2.965 Rb
```

Summary:
- magnetic moment (μB/cell) = 0.00
- final energy (eV/atom) = -2.75
- space group = No. 123

No. 2
First-principles (PBE) data for a relaxed structure of SmThRuPt, as listed in Alexandria via LeMat-Bulk.

POSCAR file:
```
SmThRuPt
1.0
5.030 0.000 0.000
2.515 4.356 0.000
2.515 1.452 4.107
Ru Sm Pt Th
1 1 1 1
Cartesian
2.515 1.452 1.027 Ru
0.000 0.000 0.000 Sm
7.544 4.356 3.080 Pt
5.030 2.904 2.053 Th
```

Summary:
- magnetic moment (μB/cell) = 0.00
- formation energy from the elements (meV per atom) = -676
- space group = No. 216

No. 3
First-principles (PBE) data for a relaxed structure of CoAu2Br, as listed in Alexandria via LeMat-Bulk.

POSCAR file:
```
CoAu2Br
1.0
2.977 0.654 0.000
-0.671 2.973 0.000
0.000 0.000 8.463
Au Br Co
2 1 1
Cartesian
0.000 0.000 8.175 Au
1.153 1.813 1.666 Au
0.000 0.000 4.927 Br
1.153 1.813 6.389 Co
```

Summary:
- magnetic moment (μB/cell) = 2.23
- final energy (eV/atom) = -3.51
- space group = No. 35